*w*
Co2Ni8W after structural relaxation. Source: the Alexandria database, functional PBE.

a b c (Å): 6.005 6.005 4.218
angles (deg): 101.24 101.24 83.86
Fractional coordinates of all 11 atoms:
Co (0.152, 0.152, 0.049)
Co (0.848, 0.848, 0.951)
Ni (0.164, 0.662, 0.719)
Ni (0.279, 0.279, 0.615)
Ni (0.338, 0.836, 0.281)
Ni (0.426, 0.426, 0.205)
Ni (0.574, 0.574, 0.795)
Ni (0.662, 0.164, 0.719)
Ni (0.721, 0.721, 0.385)
Ni (0.836, 0.338, 0.281)
W (0.000, 0.000, 0.500)



*x*
Co2Ni8W after structural relaxation. Source: the Alexandria database, functional PBE.

a b c (Å): 6.641 6.641 4.501
angles (deg): 99.79 99.79 41.33
Fractional coordinates of all 11 atoms:
Co (0.186, 0.186, 0.086)
Co (0.814, 0.814, 0.914)
Ni (0.006, 0.006, 0.248)
Ni (0.073, 0.589, 0.403)
Ni (0.393, 0.393, 0.942)
Ni (0.411, 0.927, 0.597)
Ni (0.589, 0.073, 0.403)
Ni (0.607, 0.607, 0.058)
Ni (0.927, 0.411, 0.597)
Ni (0.994, 0.994, 0.752)
W (0.500, 0.500, 0.500)



How do the energies compare? Relative to the most stable structure, in eV/atom: *w* 0.384; *x* 0.000.



*w*
CoNi4W after structural relaxation. Source: the Alexandria database, functional PBE.

a b c (Å): 4.391 4.391 4.425
angles (deg): 99.83 99.83 119.47
Fractional coordinates of all 6 atoms:
Co (0.000, 0.000, 0.000)
Ni (0.165, 0.835, 0.500)
Ni (0.332, 0.668, 0.000)
Ni (0.668, 0.332, 0.000)
Ni (0.835, 0.165, 0.500)
W (0.500, 0.500, 0.500)



*x*
CoNi4W after structural relaxation. Source: the Alexandria database, functional PBE.

a b c (Å): 4.622 4.622 4.622
angles (deg): 60.00 60.00 60.00
Fractional coordinates of all 6 atoms:
Co (0.000, 0.000, 0.000)
Ni (0.124, 0.625, 0.625)
Ni (0.625, 0.124, 0.625)
Ni (0.625, 0.625, 0.124)
Ni (0.625, 0.625, 0.625)
W (0.250, 0.250, 0.250)



How do the energies compare? Relative to the most stable structure, in eV/atom: *w* 0.000; *x* 0.087.